No. 1
First-principles (PBE) data for a relaxed LiSc2GaIr4 crystal, as listed in OQMD via LeMat-Bulk.

Unit cell a=4.409 b=4.409 c=6.232 alpha=90.00 beta=90.00 gamma=90.00
Atoms (fractional coordinates):
Sc 0.500 0.500 0.000
Sc 0.000 0.000 0.500
Ir 0.500 0.000 0.249
Ir 0.500 0.000 0.751
Ir 0.000 0.500 0.249
Ir 0.000 0.500 0.751
Ga 0.000 0.000 0.000
Li 0.500 0.500 0.500

Calculated values
The theoretical density is 12.8 g/cm³. Its total energy is -7.27 eV per atom.

---

No. 2
First-principles (PBE) data for a relaxed Li2Sc2GaSnIr2 crystal, as listed in OQMD via LeMat-Bulk.

Unit cell a=4.504 b=4.504 c=6.422 alpha=90.00 beta=90.00 gamma=90.00
Atoms (fractional coordinates):
Sn 0.500 0.500 0.500
Ga 0.000 0.000 0.000
Sc 0.000 0.000 0.500
Sc 0.500 0.500 0.000
Li 0.500 0.000 0.234
Li 0.000 0.500 0.766
Ir 0.500 0.000 0.758
Ir 0.000 0.500 0.242

Calculated values
The theoretical density is 8.6 g/cm³. Its total energy is -5.83 eV per atom.

---

No. 3
First-principles (PBE) data for a relaxed Li2Zn2GaSiIr2 crystal, as listed in OQMD via LeMat-Bulk.

Unit cell a=4.244 b=4.244 c=5.996 alpha=90.00 beta=90.00 gamma=90.00
Atoms (fractional coordinates):
Si 0.500 0.500 0.500
Zn 0.500 0.500 0.000
Zn 0.000 0.000 0.500
Li 0.000 0.500 0.750
Li 0.500 0.000 0.250
Ga 0.000 0.000 0.000
Ir 0.500 0.000 0.733
Ir 0.000 0.500 0.267

Calculated values
The theoretical density is 9.6 g/cm³. Its total energy is -4.51 eV per atom.

---

No. 4
First-principles (PBE) data for a relaxed Li2Zn2GaSnIr2 crystal, as listed in OQMD via LeMat-Bulk.

Unit cell a=4.374 b=4.374 c=6.207 alpha=90.00 beta=90.00 gamma=90.00
Atoms (fractional coordinates):
Ga 0.000 0.000 0.500
Li 0.000 0.500 0.267
Li 0.500 0.000 0.733
Zn 0.500 0.500 0.500
Zn 0.000 0.000 0.000
Ir 0.500 0.000 0.260
Ir 0.000 0.500 0.740
Sn 0.500 0.500 0.000

Calculated values
The theoretical density is 10.0 g/cm³. Its total energy is -4.28 eV per atom.

---

No. 5
First-principles (PBE) data for a relaxed Li2ZrTaGa2Ir2 crystal, as listed in OQMD via LeMat-Bulk.

Unit cell a=4.406 b=4.406 c=6.229 alpha=90.00 beta=90.00 gamma=90.00
Atoms (fractional coordinates):
Li 0.000 0.500 0.246
Li 0.500 0.000 0.754
Ir 0.500 0.000 0.236
Ir 0.000 0.500 0.764
Ga 0.000 0.000 0.500
Ga 0.500 0.500 0.000
Zr 0.500 0.500 0.500
Ta 0.000 0.000 0.000

Calculated values
The theoretical density is 11.1 g/cm³. Its total energy is -6.62 eV per atom.

---

No. 6
First-principles (PBE) data for a relaxed LiTbGa2Ir4 crystal, as listed in OQMD via LeMat-Bulk.

Unit cell a=4.395 b=4.395 c=6.299 alpha=90.00 beta=90.00 gamma=90.00
Atoms (fractional coordinates):
Tb 0.000 0.000 0.000
Ga 0.500 0.500 0.000
Ga 0.000 0.000 0.500
Ir 0.500 0.000 0.275
Ir 0.000 0.500 0.725
Ir 0.000 0.500 0.275
Ir 0.500 0.000 0.725
Li 0.500 0.500 0.500

Calculated values
The theoretical density is 14.7 g/cm³. Its total energy is -6.42 eV per atom.

---

No. 7
First-principles (PBE) data for a relaxed Li4TlGaIr2 crystal, as listed in OQMD via LeMat-Bulk.

Unit cell a=4.322 b=4.322 c=6.300 alpha=90.00 beta=90.00 gamma=90.00
Atoms (fractional coordinates):
Li 0.500 0.000 0.268
Li 0.000 0.000 0.000
Li 0.000 0.500 0.732
Li 0.500 0.500 0.500
Tl 0.500 0.500 0.000
Ga 0.000 0.000 0.500
Ir 0.000 0.500 0.280
Ir 0.500 0.000 0.720

Calculated values
The theoretical density is 9.7 g/cm³. Its total energy is -4.10 eV per atom.

---

No. 8
First-principles (PBE) data for a relaxed LiYGa2Ir4 crystal, as listed in OQMD via LeMat-Bulk.

Unit cell a=4.393 b=4.393 c=6.288 alpha=90.00 beta=90.00 gamma=90.00
Atoms (fractional coordinates):
Ir 0.500 0.000 0.725
Ir 0.500 0.000 0.275
Ir 0.000 0.500 0.275
Ir 0.000 0.500 0.725
Li 0.000 0.000 0.500
Y 0.500 0.500 0.000
Ga 0.500 0.500 0.500
Ga 0.000 0.000 0.000

Calculated values
The theoretical density is 13.7 g/cm³. Its total energy is -6.65 eV per atom.

---

No. 9
First-principles (PBE) data for a relaxed LiZnGa2Ir4 crystal, as listed in OQMD via LeMat-Bulk.

Unit cell a=4.257 b=4.257 c=6.015 alpha=90.00 beta=90.00 gamma=90.00
Atoms (fractional coordinates):
Ir 0.000 0.500 0.251
Ir 0.500 0.000 0.749
Ir 0.500 0.000 0.251
Ir 0.000 0.500 0.749
Ga 0.000 0.000 0.500
Ga 0.500 0.500 0.000
Zn 0.000 0.000 0.000
Li 0.500 0.500 0.500

Calculated values
The theoretical density is 14.9 g/cm³. Its total energy is -5.92 eV per atom.

---

No. 10
First-principles (PBE) data for a relaxed Li4ZnGaIr2 crystal, as listed in OQMD via LeMat-Bulk.

Unit cell a=4.230 b=4.230 c=5.975 alpha=90.00 beta=90.00 gamma=90.00
Atoms (fractional coordinates):
Li 0.000 0.000 0.500
Li 0.000 0.500 0.254
Li 0.500 0.000 0.746
Li 0.500 0.500 0.000
Zn 0.500 0.500 0.500
Ga 0.000 0.000 0.000
Ir 0.500 0.000 0.243
Ir 0.000 0.500 0.757

Calculated values
The theoretical density is 8.5 g/cm³. Its total energy is -4.03 eV per atom.

---

No. 11
First-principles (PBE) data for a relaxed Li4ZnGa2Ir crystal, as listed in OQMD via LeMat-Bulk.

Unit cell a=4.285 b=4.285 c=6.083 alpha=90.00 beta=90.00 gamma=90.00
Atoms (fractional coordinates):
Li 0.000 0.000 0.500
Li 0.000 0.500 0.249
Li 0.500 0.500 0.000
Li 0.500 0.000 0.751
Zn 0.500 0.500 0.500
Ga 0.500 0.000 0.230
Ga 0.000 0.500 0.770
Ir 0.000 0.000 0.000

Calculated values
The theoretical density is 6.3 g/cm³. Its total energy is -3.33 eV per atom.

---

No. 12
First-principles (PBE) data for a relaxed Li2ZrZnGa2Ir2 crystal, as listed in OQMD via LeMat-Bulk.

Unit cell a=4.376 b=4.376 c=6.230 alpha=90.00 beta=90.00 gamma=90.00
Atoms (fractional coordinates):
Li 0.000 0.500 0.217
Li 0.500 0.000 0.783
Ga 0.000 0.000 0.500
Ga 0.500 0.500 0.000
Zr 0.500 0.500 0.500
Zn 0.000 0.000 0.000
Ir 0.000 0.500 0.754
Ir 0.500 0.000 0.246

Calculated values
The theoretical density is 9.7 g/cm³. Its total energy is -5.22 eV per atom.

---

No. 13
First-principles (PBE) data for a relaxed LiZrGaIr crystal, as listed in OQMD via LeMat-Bulk.

Unit cell a=4.518 b=4.518 c=4.518 alpha=60.00 beta=60.00 gamma=60.00
Atoms (fractional coordinates):
Zr 0.250 0.250 0.250
Ga 0.500 0.500 0.500
Ir 0.000 0.000 0.000
Li 0.750 0.750 0.750

Calculated values
The theoretical density is 9.2 g/cm³. Its total energy is -6.07 eV per atom. As for the energy above the most stable polymorph in this dataset: 0.167 eV per atom.

---

No. 14
First-principles (PBE) data for a relaxed LiZrGaIr crystal, as listed in OQMD via LeMat-Bulk.

Unit cell a=4.420 b=4.420 c=4.420 alpha=60.00 beta=60.00 gamma=60.00
Atoms (fractional coordinates):
Zr 0.500 0.500 0.500
Ir 0.000 0.000 0.000
Ga 0.250 0.250 0.250
Li 0.750 0.750 0.750

Calculated values
The theoretical density is 9.8 g/cm³. Its total energy is -6.02 eV per atom. As for the energy above the most stable polymorph in this dataset: 0.220 eV per atom.

---

No. 15
First-principles (PBE) data for a relaxed LiZrGaIr crystal, as listed in OQMD via LeMat-Bulk.

Unit cell a=4.467 b=4.467 c=4.467 alpha=60.00 beta=60.00 gamma=60.00
Atoms (fractional coordinates):
Zr 0.500 0.500 0.500
Ga 0.000 0.000 0.000
Ir 0.250 0.250 0.250
Li 0.750 0.750 0.750

Calculated values
The theoretical density is 9.5 g/cm³. Its total energy is -6.24 eV per atom. As for the energy above the most stable polymorph in this dataset: 0.000 eV per atom.

---

No. 16
First-principles (PBE) data for a relaxed LiZrGaIr crystal, as listed in OQMD via LeMat-Bulk.

Unit cell a=4.459 b=4.459 c=6.310 alpha=90.00 beta=90.00 gamma=90.00
Atoms (fractional coordinates):
Zr 0.500 0.500 0.500
Zr 0.000 0.000 0.000
Ir 0.500 0.000 0.249
Ir 0.000 0.500 0.751
Ga 0.500 0.500 0.000
Ga 0.000 0.000 0.500
Li 0.500 0.000 0.751
Li 0.000 0.500 0.249

Calculated values
The theoretical density is 9.5 g/cm³. Its total energy is -6.24 eV per atom. As for the energy above the most stable polymorph in this dataset: 0.000 eV per atom.

---

No. 17
First-principles (PBE) data for a relaxed LuGaIr2 crystal, as listed in OQMD via LeMat-Bulk.

Unit cell a=4.579 b=4.579 c=4.579 alpha=60.00 beta=60.00 gamma=60.00
Atoms (fractional coordinates):
Ga 0.500 0.500 0.500
Ir 0.750 0.750 0.750
Ir 0.000 0.000 0.000
Lu 0.250 0.250 0.250

Calculated values
The theoretical density is 15.4 g/cm³. Its total energy is -6.56 eV per atom.

---

No. 18
First-principles (PBE) data for a relaxed LuGa2Ir crystal, as listed in OQMD via LeMat-Bulk.

Unit cell a=4.629 b=4.629 c=4.629 alpha=60.00 beta=60.00 gamma=60.00
Atoms (fractional coordinates):
Ir 0.500 0.500 0.500
Lu 0.750 0.750 0.750
Ga 0.250 0.250 0.250
Ga 0.000 0.000 0.000

Calculated values
The theoretical density is 12.0 g/cm³. Its total energy is -5.29 eV per atom.

---

No. 19
First-principles (PBE) data for a relaxed Lu2GaIr crystal, as listed in OQMD via LeMat-Bulk.

Unit cell a=4.731 b=4.731 c=4.731 alpha=60.00 beta=60.00 gamma=60.00
Atoms (fractional coordinates):
Ir 0.250 0.250 0.250
Lu 0.750 0.750 0.750
Lu 0.000 0.000 0.000
Ga 0.500 0.500 0.500

Calculated values
The theoretical density is 13.6 g/cm³. Its total energy is -5.76 eV per atom.

---

No. 20
First-principles (PBE) data for a relaxed LuGaIr crystal, as listed in OQMD via LeMat-Bulk.

Unit cell a=4.391 b=4.391 c=4.391 alpha=60.00 beta=60.00 gamma=60.00
Atoms (fractional coordinates):
Lu 0.750 0.750 0.750
Ir 0.250 0.250 0.250
Ga 0.000 0.000 0.000

Calculated values
The theoretical density is 12.1 g/cm³. Its total energy is -5.81 eV per atom.